Entry a
# CsCuMoPd PBE optimized geometry
data_CsCuMoPd
_cell_length_a 7.131
_cell_length_b 7.131
_cell_length_c 7.131
_cell_angle_alpha 90.00
_cell_angle_beta 90.00
_cell_angle_gamma 90.00
_space_group_name_H-M_alt 'F -4 3 m'
_space_group_IT_number 216
_space_group_name_Hall 'F -4 2 3'
loop_
_atom_site_label
_atom_site_type_symbol
_atom_site_fract_x
_atom_site_fract_y
_atom_site_fract_z
Cs1 Cs 0.000 0.000 0.000
Cu1 Cu 0.250 0.250 0.750
Mo1 Mo 0.000 0.000 0.500
Pd1 Pd 0.250 0.250 0.250
# Crystal system   cubic
# Calculated volume   363 Å³/cell
# Spin magnetization   3.836 μB per formula unit

Entry b
# CsCuMoPd PBE optimized geometry
data_CsCuMoPd
_cell_length_a 6.723
_cell_length_b 6.723
_cell_length_c 6.723
_cell_angle_alpha 90.00
_cell_angle_beta 90.00
_cell_angle_gamma 90.00
_space_group_name_H-M_alt 'F -4 3 m'
_space_group_IT_number 216
_space_group_name_Hall 'F -4 2 3'
loop_
_atom_site_label
_atom_site_type_symbol
_atom_site_fract_x
_atom_site_fract_y
_atom_site_fract_z
Cs1 Cs 0.000 0.000 0.000
Cu1 Cu 0.250 0.250 0.250
Mo1 Mo 0.250 0.250 0.750
Pd1 Pd 0.000 0.000 0.500
# Crystal system   cubic
# Calculated volume   304 Å³/cell
# Spin magnetization   1.049 μB per formula unit

Entry c
# CsCuMoPd PBE optimized geometry
data_CsCuMoPd
_cell_length_a 7.023
_cell_length_b 7.023
_cell_length_c 7.023
_cell_angle_alpha 90.00
_cell_angle_beta 90.00
_cell_angle_gamma 90.00
_space_group_name_H-M_alt 'F -4 3 m'
_space_group_IT_number 216
_space_group_name_Hall 'F -4 2 3'
loop_
_atom_site_label
_atom_site_type_symbol
_atom_site_fract_x
_atom_site_fract_y
_atom_site_fract_z
Cs1 Cs 0.000 0.000 0.000
Cu1 Cu 0.000 0.000 0.500
Mo1 Mo 0.250 0.250 0.250
Pd1 Pd 0.250 0.250 0.750
# Crystal system   cubic
# Calculated volume   346 Å³/cell
# Spin magnetization   3.790 μB per formula unit

The least stable of them is entry c.

Entry a
# CsNaCuP PBE optimized geometry
data_CsNaCuP
_cell_length_a 6.369
_cell_length_b 5.444
_cell_length_c 6.418
_cell_angle_alpha 90.00
_cell_angle_beta 103.83
_cell_angle_gamma 90.00
_space_group_name_H-M_alt 'P 1 21/m 1'
_space_group_IT_number 11
loop_
_space_group_symop_operation_xyz
'x,y,z'
'-x,-y,-z'
'-x,y+1/2,-z'
'x,-y+1/2,z'
loop_
_atom_site_label
_atom_site_type_symbol
_atom_site_fract_x
_atom_site_fract_y
_atom_site_fract_z
Cs1 Cs 0.050 0.250 0.203
Na1 Na 0.386 0.750 0.562
Cu1 Cu 0.500 0.000 0.000
P1 P 0.332 0.250 0.735
# Crystal system   monoclinic
# Calculated volume   216 Å³/cell

Entry b
# CsNaCuP PBE optimized geometry
data_CsNaCuP
_cell_length_a 5.524
_cell_length_b 10.223
_cell_length_c 7.740
_cell_angle_alpha 90.00
_cell_angle_beta 90.00
_cell_angle_gamma 90.00
_space_group_name_H-M_alt 'A m m 2'
_space_group_IT_number 38
loop_
_space_group_symop_operation_xyz
'x,y,z'
'-x,-y,z'
'-x,y,z'
'x,-y,z'
'x,y+1/2,z+1/2'
'-x,-y+1/2,z+1/2'
'-x,y+1/2,z+1/2'
'x,-y+1/2,z+1/2'
loop_
_atom_site_label
_atom_site_type_symbol
_atom_site_fract_x
_atom_site_fract_y
_atom_site_fract_z
Cs1 Cs 0.000 0.174 0.000
Na1 Na 0.500 0.152 0.324
Cu1 Cu 0.244 0.000 0.615
P1 P 0.000 0.000 0.381
P2 P 0.500 0.000 0.835
# Crystal system   orthorhombic
# Calculated volume   437 Å³/cell

The least stable of them is entry b.

Entry a
# CsCuNiTe PBE optimized geometry
data_CsCuNiTe
_cell_length_a 7.208
_cell_length_b 7.208
_cell_length_c 7.208
_cell_angle_alpha 90.00
_cell_angle_beta 90.00
_cell_angle_gamma 90.00
_space_group_name_H-M_alt 'F -4 3 m'
_space_group_IT_number 216
_space_group_name_Hall 'F -4 2 3'
loop_
_atom_site_label
_atom_site_type_symbol
_atom_site_fract_x
_atom_site_fract_y
_atom_site_fract_z
Cs1 Cs 0.000 0.000 0.000
Cu1 Cu 0.250 0.250 0.750
Ni1 Ni 0.250 0.250 0.250
Te1 Te 0.000 0.000 0.500
# Crystal system   cubic
# Calculated volume   374 Å³/cell
# Spin magnetization   0.044 μB per formula unit

Entry b
# CsCuNiTe PBE optimized geometry
data_CsCuNiTe
_cell_length_a 7.503
_cell_length_b 7.503
_cell_length_c 7.503
_cell_angle_alpha 90.00
_cell_angle_beta 90.00
_cell_angle_gamma 90.00
_space_group_name_H-M_alt 'F -4 3 m'
_space_group_IT_number 216
_space_group_name_Hall 'F -4 2 3'
loop_
_atom_site_label
_atom_site_type_symbol
_atom_site_fract_x
_atom_site_fract_y
_atom_site_fract_z
Cs1 Cs 0.000 0.000 0.000
Cu1 Cu 0.000 0.000 0.500
Ni1 Ni 0.250 0.250 0.750
Te1 Te 0.250 0.250 0.250
# Crystal system   cubic
# Calculated volume   422 Å³/cell
# Spin magnetization   0.598 μB per formula unit

The least stable of them is entry b.

Entry a
# CsCuPd PBE optimized geometry
data_CsCuPd
_cell_length_a 7.182
_cell_length_b 7.182
_cell_length_c 7.182
_cell_angle_alpha 90.00
_cell_angle_beta 90.00
_cell_angle_gamma 90.00
_space_group_name_H-M_alt 'F -4 3 m'
_space_group_IT_number 216
_space_group_name_Hall 'F -4 2 3'
loop_
_atom_site_label
_atom_site_type_symbol
_atom_site_fract_x
_atom_site_fract_y
_atom_site_fract_z
Cs1 Cs 0.000 0.000 0.000
Cu1 Cu 0.250 0.250 0.750
Pd1 Pd 0.250 0.250 0.250
# Crystal system   cubic
# Calculated volume   370 Å³/cell

Entry b
# CsCuPd PBE optimized geometry
data_CsCuPd
_cell_length_a 7.033
_cell_length_b 7.033
_cell_length_c 7.033
_cell_angle_alpha 90.00
_cell_angle_beta 90.00
_cell_angle_gamma 90.00
_space_group_name_H-M_alt 'F -4 3 m'
_space_group_IT_number 216
_space_group_name_Hall 'F -4 2 3'
loop_
_atom_site_label
_atom_site_type_symbol
_atom_site_fract_x
_atom_site_fract_y
_atom_site_fract_z
Cs1 Cs 0.000 0.000 0.000
Cu1 Cu 0.000 0.000 0.500
Pd1 Pd 0.250 0.250 0.250
# Crystal system   cubic
# Calculated volume   348 Å³/cell

The least stable of them is entry a.

Entry a
# CsCuPdSe3 PBE optimized geometry
data_CsCuPdSe3
_cell_length_a 3.887
_cell_length_b 15.712
_cell_length_c 10.391
_cell_angle_alpha 90.00
_cell_angle_beta 90.00
_cell_angle_gamma 90.00
_space_group_name_H-M_alt 'C m c m'
_space_group_IT_number 63
_space_group_name_Hall '-C 2c 2'
loop_
_atom_site_label
_atom_site_type_symbol
_atom_site_fract_x
_atom_site_fract_y
_atom_site_fract_z
Cs1 Cs 0.000 0.249 0.250
Cu1 Cu 0.000 0.459 0.750
Pd1 Pd 0.000 0.000 0.000
Se1 Se 0.000 0.050 0.750
Se2 Se 0.000 0.397 0.538
# Crystal system   orthorhombic
# Calculated volume   635 Å³/cell

Entry b
# CsCuPdSe3 PBE optimized geometry
data_CsCuPdSe3
_cell_length_a 10.610
_cell_length_b 3.971
_cell_length_c 14.907
_cell_angle_alpha 90.00
_cell_angle_beta 90.00
_cell_angle_gamma 90.00
_space_group_name_H-M_alt 'P n m a'
_space_group_IT_number 62
loop_
_space_group_symop_operation_xyz
'x,y,z'
'-x,-y,-z'
'-x+1/2,-y,z+1/2'
'x+1/2,y,-z+1/2'
'x+1/2,-y+1/2,-z+1/2'
'-x+1/2,y+1/2,z+1/2'
'-x,y+1/2,-z'
'x,-y+1/2,z'
loop_
_atom_site_label
_atom_site_type_symbol
_atom_site_fract_x
_atom_site_fract_y
_atom_site_fract_z
Cs1 Cs 0.247 0.250 0.005
Cu1 Cu 0.241 0.250 0.297
Pd1 Pd 0.009 0.250 0.748
Se1 Se 0.032 0.250 0.358
Se2 Se 0.046 0.750 0.854
Se3 Se 0.241 0.750 0.207
# Crystal system   orthorhombic
# Calculated volume   628 Å³/cell

The least stable of them is entry b.

Entry a
# CsCuTePd PBE optimized geometry
data_CsCuTePd
_cell_length_a 7.359
_cell_length_b 7.359
_cell_length_c 7.359
_cell_angle_alpha 90.00
_cell_angle_beta 90.00
_cell_angle_gamma 90.00
_space_group_name_H-M_alt 'F -4 3 m'
_space_group_IT_number 216
_space_group_name_Hall 'F -4 2 3'
loop_
_atom_site_label
_atom_site_type_symbol
_atom_site_fract_x
_atom_site_fract_y
_atom_site_fract_z
Cs1 Cs 0.000 0.000 0.000
Cu1 Cu 0.250 0.250 0.750
Te1 Te 0.000 0.000 0.500
Pd1 Pd 0.250 0.250 0.250
# Crystal system   cubic
# Calculated volume   399 Å³/cell

Entry b
# CsCuTePd PBE optimized geometry
data_CsCuTePd
_cell_length_a 7.562
_cell_length_b 7.562
_cell_length_c 7.562
_cell_angle_alpha 90.00
_cell_angle_beta 90.00
_cell_angle_gamma 90.00
_space_group_name_H-M_alt 'F -4 3 m'
_space_group_IT_number 216
_space_group_name_Hall 'F -4 2 3'
loop_
_atom_site_label
_atom_site_type_symbol
_atom_site_fract_x
_atom_site_fract_y
_atom_site_fract_z
Cs1 Cs 0.000 0.000 0.000
Cu1 Cu 0.000 0.000 0.500
Te1 Te 0.250 0.250 0.250
Pd1 Pd 0.250 0.250 0.750
# Crystal system   cubic
# Calculated volume   432 Å³/cell

The least stable of them is entry b.